No. 1
8
Lattice="-3.0817 3.0817 6.4992 3.0817 -3.0817 6.4992 3.0817 3.0817 -6.4992" Properties=species:S:1:pos:R:3 comment="LaTe2O | Alexandria | PBE | optimized geometry" spacegroup="No. 122" formation_energy_uncorrected_ev_per_fu=-2.12 volume_a3_per_fu=123 final_energy_ev_per_atom=-4.573 pbc="T T T"
La 0.0000 0.0000 0.0000
La 0.0000 3.0817 3.2496
Te 1.5408 -0.7247 4.8744
Te 2.3569 1.5408 1.6248
Te 1.5408 3.8064 -1.6248
Te 0.7247 1.5408 8.1240
O 3.0817 0.0000 3.2496
O 0.0000 0.0000 6.4992



No. 2
8
Lattice="-3.3656 3.3656 2.4061 3.3656 -3.3656 2.4061 3.3656 3.3656 -2.4061" Properties=species:S:1:pos:R:3 comment="Li2MnBe | Alexandria | PBE | optimized geometry" spacegroup="No. 122" volume_a3_per_fu=55 final_energy_ev_per_atom=-3.636 delta_e_f_ev_per_atom=0.54 pbc="T T T"
Li 5.0484 1.5168 -0.6015
Li 1.5168 1.6828 0.6015
Li -1.6828 1.8488 1.8045
Li 1.8488 1.6828 3.0076
Mn 3.3656 0.0000 1.2030
Mn 0.0000 0.0000 2.4061
Be 0.0000 0.0000 0.0000
Be 0.0000 3.3656 1.2030



No. 3
19
Lattice="7.4447 4.2982 3.3607 -7.4447 4.2982 3.3607 0.0000 -8.5964 3.3607" Properties=species:S:1:pos:R:3 comment="NaNd12Tl6 | Alexandria | PBE | optimized geometry" spacegroup="No. 148" volume_a3_per_fu=645 final_energy_ev_per_atom=-3.842 delta_e_f_ev_per_atom=-0.01 pbc="T T T"
Na 0.0000 0.0000 0.0000
Nd -2.2964 -6.0146 4.2195
Nd -2.6055 -0.6904 2.7967
Nd -6.3570 -1.0185 5.8627
Nd 1.9006 -1.9112 2.7967
Nd -4.0606 4.9961 4.2195
Nd 0.7048 2.6016 2.7967
Nd -0.7048 -2.6016 7.2855
Nd 4.0606 -4.9961 5.8627
Nd -1.9006 1.9112 7.2855
Nd 6.3571 1.0185 4.2195
Nd 2.6055 0.6904 7.2855
Nd 2.2964 6.0146 5.8627
Tl -0.9126 -3.1296 4.1588
Tl -3.1666 -0.7745 5.9234
Tl -2.2540 2.3552 4.1588
Tl 2.2540 -2.3551 5.9234
Tl 3.1666 0.7745 4.1588
Tl 0.9126 3.1296 5.9234



No. 4
11
Lattice="5.4850 0.0000 0.0000 -2.7425 4.7501 0.0000 0.0000 0.0000 5.9194" Properties=species:S:1:pos:R:3 comment="Nd2GaP2N6 | Alexandria | PBE | optimized geometry" spacegroup="No. 147" formation_energy_uncorrected_ev_per_fu=-5.16 volume_a3_per_fu=154 final_energy_ev_per_atom=-7.136 pbc="T T T"
Nd 0.0000 3.1667 2.0254
Nd 2.7425 1.5834 3.8939
Ga 0.0000 0.0000 0.0000
P 0.0000 3.1667 4.9669
P 2.7425 1.5834 0.9525
N -0.4589 1.6572 4.6209
N -1.0778 4.3189 4.6209
N 1.2058 1.2260 1.2984
N 1.5367 3.5241 4.6209
N 3.8203 0.4312 1.2984
N 3.2014 3.0929 1.2984